A relaxed LiBiTe2O crystal, computed with PBE.

Values from the calculation:
Calculated total energy = -14.26 eV for the cell shown
Uncorrected formation energy = 0.556 eV/atom

```
LiBiTe2O
1.0
-1.458 4.479 0.468
-4.274 -1.060 -3.167
-2.523 -1.220 3.814
Te Li O Bi
2 1 1 1
direct
0.000 0.000 0.500 Te
0.500 0.000 0.000 Te
0.000 0.000 0.000 Li
0.500 0.500 0.500 O
0.000 0.500 0.000 Bi
```